--- i ---
{
  "formula": "HoLuZn",
  "functional": "PBE-GGA",
  "state": "relaxed",
  "lattice": [[3.519, 0.000, 0.000], [0.000, 3.519, 0.000], [-1.760, -1.760, 6.031]],
  "species": ["Lu", "Ho", "Zn"],
  "fractional_positions": [[0.309, 0.309, 0.619], [0.021, 0.021, 0.042], [0.670, 0.670, 0.339]]
}

---

--- ii ---
{
  "formula": "HoLuZn",
  "functional": "PBE-GGA",
  "state": "relaxed",
  "lattice": [[3.554, 0.000, 0.000], [0.000, 4.948, 0.000], [0.000, -2.474, 4.285]],
  "species": ["Lu", "Ho", "Zn"],
  "fractional_positions": [[0.084, 0.000, 0.000], [0.616, 0.667, 0.333], [0.300, 0.333, 0.667]]
}

---

It turns out i is the most stable, with the second structure 15.2 kJ/mol of atoms higher.

---

--- i ---
{
  "formula": "HoLuZr",
  "functional": "PBE-GGA",
  "state": "relaxed",
  "lattice": [[-0.329, -3.306, 0.602], [2.870, -0.591, -1.677], [2.476, 2.696, 6.687]],
  "species": ["Zr", "Ho", "Lu"],
  "fractional_positions": [[0.332, 0.332, 0.664], [0.991, 0.991, 0.981], [0.677, 0.677, 0.355]]
}

---

--- ii ---
{
  "formula": "HoLuZr",
  "functional": "PBE-GGA",
  "state": "relaxed",
  "lattice": [[-0.701, 0.500, -3.237], [-5.195, -0.147, 1.102], [2.616, 4.621, 0.147]],
  "species": ["Zr", "Lu", "Ho"],
  "fractional_positions": [[0.166, 0.333, 0.667], [0.167, 0.000, 0.000], [0.667, 0.667, 0.333]]
}

---

It turns out i is the most stable, with the second structure 5.2 kJ/mol of atoms higher.

---

--- i ---
{
  "formula": "Ho2LuZr",
  "functional": "PBE-GGA",
  "state": "relaxed",
  "lattice": [[-0.202, -4.400, 1.923], [4.388, 0.631, 1.904], [-1.995, 1.836, 3.990]],
  "species": ["Ho", "Ho", "Lu", "Zr"],
  "fractional_positions": [[0.000, 0.000, 0.500], [0.000, 0.500, 0.000], [0.500, 0.500, 0.500], [0.500, 0.000, 0.000]]
}

---

--- ii ---
{
  "formula": "Ho2LuZr",
  "functional": "PBE-GGA",
  "state": "relaxed",
  "lattice": [[3.996, 0.000, 0.000], [0.000, 3.996, 0.000], [0.000, 0.000, 7.084]],
  "species": ["Zr", "Ho", "Ho", "Lu"],
  "fractional_positions": [[0.500, 0.500, 0.500], [0.000, 0.000, 0.730], [0.000, 0.000, 0.270], [0.500, 0.500, 0.000]]
}

---

It turns out i is the most stable, with the second structure 8.2 kJ/mol of atoms higher.